Material: BeTlN2F
Method: DFT, PBE
State: relaxed

Properties
- E_form (uncorrected): 1573 meV/atom
- Volume: 16.4 Å³ per atom
- E above lowest polymorph: 1259 meV/atom

abc: 4.306 4.306 4.433
angles: 90.00 90.00 90.00
Last column: magnetic moment on the atom in μB.
Fractional positions:
F 0.000 0.000 0.500  -0.02
Be 0.500 0.500 0.500  -0.17
Tl 0.000 0.000 0.000  -0.01
N 0.000 0.500 0.000  0.69
N 0.500 0.000 0.000  0.69